(1)
Entry from Alexandria via LeMat-Bulk: a relaxed structure of Li2AgRh (GGA-PBE).

Values from the calculation:
ΔH_f (0 K), eV per atom: -0.0638
Space-group type: Pmm2
Calculated volume, Å³ per atom: 15.0

abc: 2.675 4.283 5.251
angles: 90.00 90.00 90.00
Sites, in units of the cell vectors:
Li 0.000 0.000 0.000
Li 0.500 0.500 0.279
Ag 0.500 0.500 0.761
Rh 0.000 0.000 0.498

---

(2)
Entry from Alexandria via LeMat-Bulk: a relaxed structure of Li2AgRh (GGA-PBE).

Values from the calculation:
ΔH_f (0 K), eV per atom: 0.0055
Space-group type: P4mm
Calculated volume, Å³ per atom: 14.9

abc: 3.270 3.270 5.577
angles: 90.00 90.00 90.00
Sites, in units of the cell vectors:
Li 0.000 0.000 0.000
Li 0.500 0.500 0.270
Ag 0.500 0.500 0.756
Rh 0.000 0.000 0.479